Here is PI2O after structural relaxation from Alexandria via LeMat-Bulk. Energies are from PBE-GGA.

Output
The formation energy from raw total energies comes out at 0.70 eV per atom. The density of states at the Fermi level is 4.75 states/eV/f.u. Its mass density is 5245 kg/m3.

Cell and atoms, written as POSCAR:
```
PI2O
1.0
7.002 0.000 0.000
0.000 7.002 0.000
3.501 3.501 3.884
I P O
4 2 2
Direct
0.608 0.125 0.250
0.142 0.625 0.250
0.375 0.392 0.750
0.875 0.858 0.750
0.000 0.000 0.000
0.750 0.250 0.500
0.500 0.500 0.000
0.250 0.750 0.500
```